Record 1
Below is crystalline K4CoI6 at its relaxed geometry, with properties calculated at the PBE level.

Values from the calculation:
E_form (uncorrected): -1.05 eV per atom
crystal system: monoclinic

Cell: 8.8043 9.4940 16.2500 Å, 75.75 74.28 62.38°
Closest atoms and distances in Å follow each position.
Fractional positions:
K1 0.3396 0.9662 0.6240  5 I 3.39-3.67
K2 0.0702 0.4662 0.1240  5 I 3.39-3.67
K3 0.8101 0.2832 0.4509  4 I 3.41-3.79
K4 0.4559 0.7832 0.9509  4 I 3.41-3.79
K5 0.9770 0.6433 0.6719  4 I 3.43-3.75
K6 0.7077 0.1433 0.1719  4 I 3.43-3.75
K7 0.6757 0.2478 0.8067  5 I 3.40-3.70
K8 0.2698 0.7478 0.3067  5 I 3.40-3.70
Co1 0.6720 0.7756 0.4019  4 I 2.59-2.61
Co2 0.1505 0.2756 0.9019  4 I 2.59-2.61
I1 0.4087 0.5356 0.1382  4 K 3.41-3.43
I2 0.9175 0.0356 0.6382  4 K 3.41-3.43
I3 0.4510 0.6579 0.4916  1 Co 2.61
I4 0.3994 0.1579 0.9916  1 Co 2.61
I5 0.5521 0.0744 0.4192  1 Co 2.59
I6 0.9543 0.5744 0.9192  1 Co 2.59
I7 0.9878 0.0927 0.9519  1 Co 2.59
I8 0.9675 0.5927 0.4519  1 Co 2.59
I9 0.0231 0.1477 0.2576  4 K 3.39-3.45
I10 0.5717 0.6477 0.7576  4 K 3.39-3.45
I11 0.2985 0.2618 0.7402  1 Co 2.60
I12 0.6995 0.7618 0.2402  1 Co 2.60

***

Record 2
Below is crystalline KCo2I at its relaxed geometry, with properties calculated at the PBE level.

Values from the calculation:
offset from the most stable computed form: 0 meV/atom
E_form (uncorrected): 0.62 eV per atom
crystal system: tetragonal

Cell: 4.9309 4.9309 9.2902 Å, 74.61 74.61 90.00°
Closest atoms and distances in Å follow each position.
Fractional positions:
I1 0.0000 0.0000 0.0000  4 Co 2.48
I2 0.7500 0.2500 0.5000  4 Co 2.48
K1 0.5000 0.5000 0.0000  4 I 3.49, 8 Co 3.50
K2 0.2500 0.7500 0.5000  4 I 3.49, 8 Co 3.50
Co1 0.8756 0.1250 0.2500  2 Co 2.47, 2 I 2.48
Co2 0.8744 0.6250 0.2500  2 Co 2.47, 2 I 2.48
Co3 0.3750 0.1244 0.7500  2 Co 2.47, 2 I 2.48
Co4 0.8750 0.1256 0.7500  2 Co 2.47, 2 I 2.48